No. 1
Material: SmY3Al8
Method: DFT, PBE-GGA
State: optimized geometry

Computed properties:
Distance to the lowest polymorph of the same formula, eV/atom: 0.010
Electronic total energy, eV/atom: -5.02

Structure (CIF):
```
data_SmY3Al8
_chemical_formula_sum 'Sm1 Y3 Al8'
_symmetry_space_group_name_H-M 'P 3 m 1'
_symmetry_Int_Tables_number 156
_symmetry_space_group_name_Hall 'P 3 -2"'
_cell_length_a 5.5702
_cell_length_b 5.5702
_cell_length_c 9.1878
_cell_angle_alpha 90.00
_cell_angle_beta 90.00
_cell_angle_gamma 120.00
loop_
_atom_site_label
_atom_site_type_symbol
_atom_site_fract_x
_atom_site_fract_y
_atom_site_fract_z
Sm1 Sm 0.0000 0.0000 0.0000
Y1 Y 0.0000 0.0000 0.3637
Y2 Y 0.6667 0.3333 0.4990
Y3 Y 0.6667 0.3333 0.8636
Al1 Al 0.1623 0.3246 0.6807
Al2 Al 0.3333 0.6667 0.4329
Al3 Al 0.3333 0.6667 0.9312
Al4 Al 0.5044 0.0087 0.1836
```


No. 2
Material: Sm12Y6Al
Method: DFT, PBE-GGA
State: optimized geometry

Computed properties:
Electronic total energy, eV/atom: -5.12

Structure (CIF):
```
data_Sm12Y6Al
_chemical_formula_sum 'Sm36 Y18 Al3'
_symmetry_space_group_name_H-M 'R -3'
_symmetry_Int_Tables_number 148
_symmetry_space_group_name_Hall '-R 3'
_cell_length_a 12.1905
_cell_length_b 12.1905
_cell_length_c 14.5525
_cell_angle_alpha 90.00
_cell_angle_beta 90.00
_cell_angle_gamma 120.00
loop_
_atom_site_label
_atom_site_type_symbol
_atom_site_fract_x
_atom_site_fract_y
_atom_site_fract_z
Sm1 Sm 0.0378 0.1799 0.3081
Sm2 Sm 0.0717 0.8668 0.9094
Y1 Y 0.0391 0.4415 0.2022
Al1 Al 0.0000 0.0000 0.5000
```


No. 3
Material: SmY2Al2
Method: DFT, PBE-GGA
State: optimized geometry

Computed properties:
Distance to the lowest polymorph of the same formula, eV/atom: 0.222
Electronic total energy, eV/atom: -5.11

Structure (CIF):
```
data_SmY2Al2
_chemical_formula_sum 'Sm4 Y8 Al8'
_symmetry_space_group_name_H-M 'C m c m'
_symmetry_Int_Tables_number 63
_symmetry_space_group_name_Hall '-C 2c 2'
_cell_length_a 6.277
_cell_length_b 16.157
_cell_length_c 5.521
_cell_angle_alpha 90.00
_cell_angle_beta 90.00
_cell_angle_gamma 90.00
loop_
_atom_site_label
_atom_site_type_symbol
_atom_site_fract_x
_atom_site_fract_y
_atom_site_fract_z
Sm1 Sm 0.000 0.000 0.000
Y1 Y 0.000 0.199 0.250
Y2 Y 0.000 0.412 0.750
Al1 Al 0.230 0.365 0.250
```


No. 4
Material: SmY2Al
Method: DFT, PBE-GGA
State: optimized geometry

Computed properties:
Distance to the lowest polymorph of the same formula, eV/atom: 0.025
Electronic total energy, eV/atom: -5.53

Structure (CIF):
```
data_SmY2Al
_chemical_formula_sum 'Sm1 Y2 Al1'
_symmetry_space_group_name_H-M 'P 4/m m m'
_symmetry_Int_Tables_number 123
_symmetry_space_group_name_Hall '-P 4 2'
_cell_length_a 4.817
_cell_length_b 4.817
_cell_length_c 4.786
_cell_angle_alpha 90.00
_cell_angle_beta 90.00
_cell_angle_gamma 90.00
loop_
_atom_site_label
_atom_site_type_symbol
_atom_site_fract_x
_atom_site_fract_y
_atom_site_fract_z
Sm1 Sm 0.000 0.000 0.000
Y1 Y 0.000 0.500 0.500
Al1 Al 0.500 0.500 0.000
```


No. 5
Material: SmYAl2Zn2
Method: DFT, PBE-GGA
State: optimized geometry

Computed properties:
Electronic total energy, eV/atom: -4.00

Structure (CIF):
```
data_SmYAl2Zn2
_chemical_formula_sum 'Sm1 Y1 Al2 Zn2'
_symmetry_space_group_name_H-M 'P -3 m 1'
_symmetry_Int_Tables_number 164
_symmetry_space_group_name_Hall '-P 3 2"'
_cell_length_a 4.4993
_cell_length_b 4.4993
_cell_length_c 7.3328
_cell_angle_alpha 90.00
_cell_angle_beta 90.00
_cell_angle_gamma 120.00
loop_
_atom_site_label
_atom_site_type_symbol
_atom_site_fract_x
_atom_site_fract_y
_atom_site_fract_z
Sm1 Sm 0.0000 0.0000 0.0000
Y1 Y 0.0000 0.0000 0.5000
Al1 Al 0.3333 0.6667 0.7399
Zn1 Zn 0.3333 0.6667 0.2648
```


No. 6
Material: SmY2Al2Zn2
Method: DFT, PBE-GGA
State: optimized geometry

Computed properties:
Electronic total energy, eV/atom: -4.28

Structure (CIF):
```
data_SmY2Al2Zn2
_chemical_formula_sum 'Sm3 Y6 Al6 Zn6'
_symmetry_space_group_name_H-M 'R -3 m'
_symmetry_Int_Tables_number 166
_symmetry_space_group_name_Hall '-R 3 2"'
_cell_length_a 4.5166
_cell_length_b 4.5166
_cell_length_c 27.7888
_cell_angle_alpha 90.00
_cell_angle_beta 90.00
_cell_angle_gamma 120.00
loop_
_atom_site_label
_atom_site_type_symbol
_atom_site_fract_x
_atom_site_fract_y
_atom_site_fract_z
Sm1 Sm 0.0000 0.0000 0.0000
Y1 Y 0.0000 0.0000 0.1277
Al1 Al 0.0000 0.0000 0.2620
Zn1 Zn 0.0000 0.0000 0.4003
```


No. 7
Material: SmYAlZn
Method: DFT, PBE-GGA
State: optimized geometry

Computed properties:
Electronic total energy, eV/atom: -4.42

Structure (CIF):
```
data_SmYAlZn
_chemical_formula_sum 'Sm4 Y4 Al4 Zn4'
_symmetry_space_group_name_H-M 'F -4 3 m'
_symmetry_Int_Tables_number 216
_symmetry_space_group_name_Hall 'F -4 2 3'
_cell_length_a 7.275
_cell_length_b 7.275
_cell_length_c 7.275
_cell_angle_alpha 90.00
_cell_angle_beta 90.00
_cell_angle_gamma 90.00
loop_
_atom_site_label
_atom_site_type_symbol
_atom_site_fract_x
_atom_site_fract_y
_atom_site_fract_z
Sm1 Sm 0.000 0.000 0.000
Y1 Y 0.000 0.000 0.500
Al1 Al 0.250 0.250 0.250
Zn1 Zn 0.250 0.250 0.750
```


No. 8
Material: Sm2AlZn
Method: DFT, PBE-GGA
State: optimized geometry

Computed properties:
Distance to the lowest polymorph of the same formula, eV/atom: 0.000
Electronic total energy, eV/atom: -3.96

Structure (CIF):
```
data_Sm2AlZn
_chemical_formula_sum 'Sm2 Al1 Zn1'
_symmetry_space_group_name_H-M 'P 4/m m m'
_symmetry_Int_Tables_number 123
_symmetry_space_group_name_Hall '-P 4 2'
_cell_length_a 3.634
_cell_length_b 3.634
_cell_length_c 7.460
_cell_angle_alpha 90.00
_cell_angle_beta 90.00
_cell_angle_gamma 90.00
loop_
_atom_site_label
_atom_site_type_symbol
_atom_site_fract_x
_atom_site_fract_y
_atom_site_fract_z
Sm1 Sm 0.000 0.000 0.246
Al1 Al 0.500 0.500 0.500
Zn1 Zn 0.500 0.500 0.000
```


| no. | energy of formation (eV/atom) |
| --- | --- |
| 1 | -0.516 |
| 2 | 0.096 |
| 3 | -0.079 |
| 4 | -0.179 |
| 5 | -0.460 |
| 6 | -0.326 |
| 7 | -0.374 |
| 8 | -0.349 |